VASP calculation (GGA-PBE) on a relaxed Ti5MoIr2Pt2 crystal.

a = 2.9052 Å, b = 10.8126 Å, c = 10.8126 Å
α = 90.00°, β = 90.00°, γ = 90.00°
Closest atoms and distances in Å follow each position.
Fractional positions:
Ti (0.5000, 0.3623, 0.3431)  2 Ir 2.59, 2 Mo 2.68, 2 Pt 2.70
Ti (0.5000, 0.3431, 0.6377)  2 Ir 2.59, 2 Mo 2.68, 2 Pt 2.70
Ti (0.5000, 0.5000, 0.0000)  4 Ir 2.65, 4 Pt 2.74, 2 Ti 2.91
Ti (0.5000, 0.1377, 0.8431)  2 Ir 2.59, 2 Mo 2.68, 2 Pt 2.70
Ti (0.5000, 0.8623, 0.1569)  2 Ir 2.59, 2 Mo 2.68, 2 Pt 2.70
Ti (0.5000, 0.0000, 0.5000)  4 Ir 2.65, 4 Pt 2.74, 2 Ti 2.91
Ti (0.5000, 0.8431, 0.8623)  2 Ir 2.59, 2 Mo 2.68, 2 Pt 2.70
Ti (0.5000, 0.1569, 0.1377)  2 Ir 2.59, 2 Mo 2.68, 2 Pt 2.70
Ti (0.5000, 0.6569, 0.3623)  2 Ir 2.59, 2 Mo 2.68, 2 Pt 2.70
Ti (0.5000, 0.6377, 0.6569)  2 Ir 2.59, 2 Mo 2.68, 2 Pt 2.70
Pt (0.0000, 0.8480, 0.6520)  6 Ti 2.70-2.74, 2 Pt 2.91
Pt (0.0000, 0.1520, 0.3480)  6 Ti 2.70-2.74, 2 Pt 2.91
Pt (0.0000, 0.3480, 0.8480)  6 Ti 2.70-2.74, 2 Pt 2.91
Pt (0.0000, 0.6520, 0.1520)  6 Ti 2.70-2.74, 2 Pt 2.91
Ir (0.0000, 0.8554, 0.3554)  6 Ti 2.59-2.65
Ir (0.0000, 0.3554, 0.1446)  6 Ti 2.59-2.65
Ir (0.0000, 0.6446, 0.8554)  6 Ti 2.59-2.65
Ir (0.0000, 0.1446, 0.6446)  6 Ti 2.59-2.65
Mo (0.0000, 0.0000, 0.0000)  8 Ti 2.68, 2 Mo 2.91
Mo (0.0000, 0.5000, 0.5000)  8 Ti 2.68, 2 Mo 2.91

Values from the calculation:
Calculated total energy   -168.5 eV for the cell shown

VASP calculation (GGA-PBE) on a relaxed ScMn10Cr2 crystal.

a = 6.2661 Å, b = 6.2661 Å, c = 7.9795 Å
α = 90.00°, β = 90.00°, γ = 97.43°
Closest atoms and distances in Å follow each position.
Fractional positions:
Mn (0.2553, 0.4763, 0.7500)  2 Mn 2.22-2.41
Mn (0.2236, 0.2236, 0.5000)  8 Mn 2.33-2.58, 2 Cr 2.36
Mn (0.6247, 0.8743, 0.2500)  2 Cr 2.32, 7 Mn 2.33-2.51
Mn (0.2236, 0.2236, 0.0000)  8 Mn 2.33-2.58, 2 Cr 2.36
Mn (0.4763, 0.2553, 0.2500)  2 Mn 2.22-2.41
Mn (0.7447, 0.5237, 0.2500)  2 Mn 2.22-2.41
Mn (0.5237, 0.7447, 0.7500)  2 Mn 2.22-2.41
Mn (0.6035, 0.3965, 0.9286)  3 Mn 2.26-2.51
Mn (0.1257, 0.3753, 0.2500)  2 Cr 2.32, 7 Mn 2.33-2.51
Mn (0.7764, 0.7764, 0.0000)  8 Mn 2.33-2.58, 2 Cr 2.36
Mn (0.8307, 0.1693, 0.1034)  6 Mn 2.34-2.58, 2 Cr 2.35
Mn (0.3965, 0.6035, 0.4286)  3 Mn 2.26-2.51
Mn (0.1693, 0.8307, 0.8966)  6 Mn 2.34-2.58, 2 Cr 2.35
Mn (0.1693, 0.8307, 0.6034)  6 Mn 2.34-2.58, 2 Cr 2.35
Mn (0.3753, 0.1257, 0.7500)  2 Cr 2.32, 7 Mn 2.33-2.51
Mn (0.6035, 0.3965, 0.5714)  3 Mn 2.26-2.51
Mn (0.7764, 0.7764, 0.5000)  8 Mn 2.33-2.58, 2 Cr 2.36
Mn (0.3965, 0.6035, 0.0714)  3 Mn 2.26-2.51
Mn (0.8307, 0.1693, 0.3966)  6 Mn 2.34-2.58, 2 Cr 2.35
Mn (0.8743, 0.6247, 0.7500)  2 Cr 2.32, 7 Mn 2.33-2.51
Cr (0.0000, 0.5000, 0.5000)  10 Mn 2.32-2.57
Cr (0.5000, 0.0000, 0.5000)  10 Mn 2.32-2.57
Cr (0.0000, 0.5000, 0.0000)  10 Mn 2.32-2.57
Cr (0.5000, 0.0000, 0.0000)  10 Mn 2.32-2.57
Sc (0.8778, 0.1222, 0.7500)  16 Mn 2.86-3.15, 4 Cr 3.11
Sc (0.1222, 0.8778, 0.2500)  16 Mn 2.86-3.15, 4 Cr 3.11

Values from the calculation:
Calculated total energy   -234.5 eV for the cell shown

VASP calculation (GGA-PBE) on a relaxed Sr4CaHg5 crystal.

a = 3.9460 Å, b = 3.9460 Å, c = 19.9379 Å
α = 90.00°, β = 90.00°, γ = 90.00°
Closest atoms and distances in Å follow each position.
Fractional positions:
Hg (0.5000, 0.5000, 0.2953)  8 Sr 3.45-3.46
Hg (0.5000, 0.5000, 0.7047)  8 Sr 3.45-3.46
Hg (0.5000, 0.5000, 0.9100)  4 Ca 3.32, 4 Sr 3.47, 1 Hg 3.59
Hg (0.5000, 0.5000, 0.0900)  4 Ca 3.32, 4 Sr 3.47, 1 Hg 3.59
Hg (0.5000, 0.5000, 0.5000)  8 Sr 3.45
Sr (0.0000, 0.0000, 0.6020)  8 Hg 3.45-3.46
Sr (0.0000, 0.0000, 0.1933)  8 Hg 3.45-3.47, 1 Ca 3.85
Sr (0.0000, 0.0000, 0.8067)  8 Hg 3.45-3.47, 1 Ca 3.85
Sr (0.0000, 0.0000, 0.3980)  8 Hg 3.45-3.46
Ca (0.0000, 0.0000, 0.0000)  8 Hg 3.32

Values from the calculation:
Calculated total energy   -15.5 eV for the cell shown

| no. | Fermi-level density of states (states/eV/atom) | formation enthalpy at 0 K (eV per atom) |
| --- | --- | --- |
| 1 | 0.71 | -0.413 |
| 2 | 1.19 | 0.000 |
| 3 | 0.73 | -0.531 |